(1)
Material: Hf2CdP
Method: DFT, PBE-GGA
State: relaxed

Total magnetization   0.000 μB per cell
Energy of formation   -0.899 eV/f.u.

abc: 7.4096 7.4096 5.9948
angles: 90.00 90.00 90.00
Space group I-42d (No. 122)
Unique sites:
Hf  0.2145  0.7500  0.1250 x8
Cd  0.0000  0.0000  0.5000 x4
P  0.0000  0.0000  0.0000 x4

(2)
Material: HfCd3P
Method: DFT, PBE-GGA
State: relaxed

Total magnetization   0.000 μB per cell
Energy of formation   3.824 eV/f.u.

abc: 4.9943 4.9943 4.9943
angles: 90.00 90.00 90.00
Space group Pm-3m (No. 221)
Unique sites:
Hf  0.0000  0.0000  0.0000 x1
Cd  0.0000  0.5000  0.5000 x3
P  0.5000  0.5000  0.5000 x1

| no. | E (eV/atom) | energy above the lowest structure with this stoichiometry (meV per atom) |
| --- | --- | --- |
| 1 | -6.78 | 390.3 |
| 2 | -2.86 | 0.0 |